Version a
The following is a GGA-PBE calculation of crystalline ZnPd18 at its relaxed geometry, from OQMD via LeMat-Bulk.

Cell lengths 5.593, 2.795, 51.645 Å; angles 90.00, 90.00, 90.00 degrees
Space group P2_1/m (No. 11)
Unique sites:
1 Zn 0.125 0.250 0.355 (multiplicity 2)
2 Pd 0.124 0.250 0.753 (multiplicity 2)
3 Pd 0.125 0.250 0.057 (multiplicity 2)
4 Pd 0.125 0.250 0.133 (multiplicity 2)
5 Pd 0.125 0.250 0.209 (multiplicity 2)
6 Pd 0.125 0.250 0.286 (multiplicity 2)
7 Pd 0.125 0.250 0.829 (multiplicity 2)
8 Pd 0.125 0.250 0.905 (multiplicity 2)
9 Pd 0.125 0.250 0.981 (multiplicity 2)
10 Pd 0.134 0.250 0.675 (multiplicity 2)
11 Pd 0.374 0.750 0.247 (multiplicity 2)
12 Pd 0.375 0.750 0.019 (multiplicity 2)
13 Pd 0.375 0.750 0.095 (multiplicity 2)
14 Pd 0.375 0.750 0.171 (multiplicity 2)
15 Pd 0.375 0.750 0.714 (multiplicity 2)
16 Pd 0.375 0.750 0.791 (multiplicity 2)
17 Pd 0.375 0.750 0.867 (multiplicity 2)
18 Pd 0.375 0.750 0.943 (multiplicity 2)
19 Pd 0.384 0.750 0.325 (multiplicity 2)

Calculated values
Crystal system: monoclinic

Version b
The following is a GGA-PBE calculation of crystalline ZnPd18 at its relaxed geometry, from OQMD via LeMat-Bulk.

Cell lengths 5.601, 3.874, 40.908 Å; angles 90.00, 90.00, 90.00 degrees
Space group P2_1/m (No. 11)
Unique sites:
1 Zn 0.125 0.250 0.321 (multiplicity 2)
2 Pd 0.125 0.250 0.052 (multiplicity 2)
3 Pd 0.125 0.250 0.121 (multiplicity 2)
4 Pd 0.125 0.250 0.190 (multiplicity 2)
5 Pd 0.125 0.250 0.258 (multiplicity 2)
6 Pd 0.125 0.250 0.913 (multiplicity 2)
7 Pd 0.125 0.250 0.983 (multiplicity 2)
8 Pd 0.126 0.250 0.704 (multiplicity 2)
9 Pd 0.126 0.250 0.844 (multiplicity 2)
10 Pd 0.127 0.250 0.775 (multiplicity 2)
11 Pd 0.375 0.750 0.017 (multiplicity 2)
12 Pd 0.375 0.750 0.087 (multiplicity 2)
13 Pd 0.375 0.750 0.739 (multiplicity 2)
14 Pd 0.375 0.750 0.809 (multiplicity 2)
15 Pd 0.375 0.750 0.879 (multiplicity 2)
16 Pd 0.375 0.750 0.948 (multiplicity 2)
17 Pd 0.376 0.750 0.156 (multiplicity 2)
18 Pd 0.376 0.750 0.296 (multiplicity 2)
19 Pd 0.377 0.750 0.225 (multiplicity 2)

Calculated values
Crystal system: monoclinic

Winner for stability: version a